Material: BePAu
Method: DFT, GGA-PBE
State: relaxed

## Properties
The value obtained for the energy relative to the elements is 17 meV per atom. The theoretical density comes out at 8.8 g/cm3.

a = 7.6212 Å, b = 3.7961 Å, c = 6.1904 Å
α = 90.00°, β = 90.00°, γ = 90.00°
Sites, in units of the cell vectors:
1 Be 0.0781 0.2500 0.2023
2 Be 0.4219 0.7500 0.7023
3 Be 0.5781 0.2500 0.2977
4 Be 0.9219 0.7500 0.7977
5 P 0.1507 0.7500 0.0155
6 P 0.3493 0.2500 0.5155
7 P 0.6507 0.7500 0.4845
8 P 0.8493 0.2500 0.9845
9 Au 0.1326 0.7500 0.4612
10 Au 0.3674 0.2500 0.9612
11 Au 0.6326 0.7500 0.0388
12 Au 0.8674 0.2500 0.5388